VASP calculation (PBE) on a relaxed structure of SrPd4Au8.

Calculated values
- space-group type = I4/mmm (139)
- ΔE_f (eV/f.u.) = -3.33

a b c (Å): 7.192 7.192 7.192
angles (deg): 98.75 98.75 134.09
Fractional coordinates of all 13 atoms:
Sr  0.000  0.000  0.000
Pd  0.000  0.000  0.500
Pd  0.000  0.500  0.000
Pd  0.500  0.000  0.000
Pd  0.500  0.500  0.500
Au  0.000  0.343  0.343
Au  0.000  0.657  0.657
Au  0.278  0.500  0.778
Au  0.343  0.000  0.343
Au  0.500  0.278  0.778
Au  0.500  0.722  0.222
Au  0.657  0.000  0.657
Au  0.722  0.500  0.222


VASP calculation (PBE) on a relaxed structure of Th2GaOs.

Calculated values
- space-group type = P2_1/m (11)
- ΔE_f (eV/f.u.) = -1.80

a b c (Å): 6.091 4.120 8.521
angles (deg): 90.00 110.17 90.00
Fractional coordinates of all 8 atoms:
Th  0.181  0.250  0.404
Th  0.272  0.750  0.050
Th  0.728  0.250  0.950
Th  0.819  0.750  0.596
Ga  0.363  0.750  0.706
Ga  0.637  0.250  0.294
Os  0.113  0.250  0.795
Os  0.887  0.750  0.205


VASP calculation (PBE) on a relaxed structure of CsBa2H8Rh.

Calculated values
- space-group type = P-3m1 (164)

a b c (Å): 5.344 5.344 7.682
angles (deg): 90.00 90.00 120.00
Fractional coordinates of all 12 atoms:
Cs  0.000  0.000  0.000
Ba  0.333  0.667  0.292
Ba  0.667  0.333  0.708
H  0.149  0.299  0.623
H  0.149  0.851  0.623
H  0.299  0.149  0.377
H  0.333  0.667  0.942
H  0.667  0.333  0.058
H  0.701  0.851  0.623
H  0.851  0.149  0.377
H  0.851  0.701  0.377
Rh  0.000  0.000  0.500


VASP calculation (PBE) on a relaxed structure of Li2Pt2I.

Calculated values
- space-group type = P4/mbm (127)
- E above lowest polymorph (meV/atom) = 0
- energy relative to the elements, uncorrected (eV per atom) = -0.19

a b c (Å): 7.016 7.016 3.772
angles (deg): 90.00 90.00 90.00
Fractional coordinates of all 10 atoms:
Li  0.152  0.348  0.000
Li  0.348  0.848  0.000
Li  0.652  0.152  0.000
Li  0.848  0.652  0.000
Pt  0.137  0.637  0.500
Pt  0.363  0.137  0.500
Pt  0.637  0.863  0.500
Pt  0.863  0.363  0.500
I  0.000  0.000  0.500
I  0.500  0.500  0.500


VASP calculation (PBE) on a relaxed structure of NpGaCo3Ge.

Calculated values
- space-group type = Cmcm (63)
- ΔE_f (eV/f.u.) = 0.27

a b c (Å): 6.411 6.411 5.869
angles (deg): 90.00 90.00 130.45
Fractional coordinates of all 12 atoms:
Np  0.162  0.838  0.750
Np  0.838  0.162  0.250
Ga  0.406  0.594  0.750
Ga  0.594  0.406  0.250
Co  0.230  0.230  0.000
Co  0.230  0.230  0.500
Co  0.350  0.650  0.250
Co  0.650  0.350  0.750
Co  0.770  0.770  0.000
Co  0.770  0.770  0.500
Ge  0.141  0.859  0.250
Ge  0.859  0.141  0.750


VASP calculation (PBE) on a relaxed structure of ZnCuOs2.

Calculated values
- space-group type = Cmmm (65)
- ΔE_f (eV/f.u.) = 2.01

a b c (Å): 4.757 4.757 2.687
angles (deg): 90.00 90.00 113.87
Fractional coordinates of all 4 atoms:
Zn  0.000  0.000  0.000
Cu  0.500  0.500  0.000
Os  0.000  0.500  0.500
Os  0.500  0.000  0.500


VASP calculation (PBE) on a relaxed structure of Ti3SiAs.

Calculated values
- space-group type = Pm-3m (221)
- E above lowest polymorph (meV/atom) = 0
- energy relative to the elements, uncorrected (eV per atom) = 0.21

a b c (Å): 4.594 4.594 4.594
angles (deg): 90.00 90.00 90.00
Fractional coordinates of all 5 atoms:
Ti  0.000  0.000  0.500
Ti  0.000  0.500  0.000
Ti  0.500  0.000  0.000
Si  0.000  0.000  0.000
As  0.500  0.500  0.500


VASP calculation (PBE) on a relaxed structure of Pu2ZrSi.

Calculated values
- space-group type = P4/mmm (123)
- energy relative to the elements, uncorrected (eV per atom) = -0.27

a b c (Å): 4.218 4.218 4.685
angles (deg): 90.00 90.00 90.00
Fractional coordinates of all 4 atoms:
Pu  0.000  0.500  0.000
Pu  0.500  0.000  0.000
Zr  0.000  0.000  0.500
Si  0.500  0.500  0.500


VASP calculation (PBE) on a relaxed structure of AcMnTcP2.

Calculated values
- space-group type = I-4m2 (119)
- ΔE_f (eV/f.u.) = -4.33

a b c (Å): 6.648 6.648 6.648
angles (deg): 145.55 145.55 49.51
Fractional coordinates of all 5 atoms:
Ac  0.000  0.000  0.000
Mn  0.250  0.750  0.500
Tc  0.750  0.250  0.500
P  0.358  0.358  0.000
P  0.642  0.642  0.000


VASP calculation (PBE) on a relaxed structure of TmTiRe.

Calculated values
- space-group type = I4mm (107)
- E above lowest polymorph (meV/atom) = 0
- ΔE_f (eV/f.u.) = -0.26

a b c (Å): 5.869 5.869 5.869
angles (deg): 147.25 147.25 47.00
Fractional coordinates of all 3 atoms:
Tm  0.000  0.000  0.000
Ti  0.285  0.285  0.000
Re  0.674  0.674  0.000


VASP calculation (PBE) on a relaxed structure of InS4Br.

Calculated values
- space-group type = P-1 (2)
- energy relative to the elements, uncorrected (eV per atom) = -0.14

a b c (Å): 4.038 10.111 10.959
angles (deg): 62.80 81.19 81.12
Fractional coordinates of all 12 atoms:
In  0.052  0.273  0.267
In  0.948  0.727  0.733
S  0.118  0.393  0.017
S  0.119  0.004  0.406
S  0.331  0.844  0.108
S  0.359  0.064  0.847
S  0.641  0.936  0.153
S  0.669  0.156  0.892
S  0.881  0.996  0.594
S  0.882  0.607  0.983
Br  0.482  0.390  0.357
Br  0.518  0.610  0.643


VASP calculation (PBE) on a relaxed structure of BaBe2Ga.

Calculated values
- space-group type = I4_1/amd (141)
- ΔE_f (eV/f.u.) = 0.88

a b c (Å): 8.435 8.435 8.435
angles (deg): 146.00 146.00 48.84
Fractional coordinates of all 8 atoms:
Ba  0.375  0.625  0.750
Ba  0.625  0.375  0.250
Be  0.000  0.000  0.000
Be  0.000  0.000  0.500
Be  0.000  0.500  0.000
Be  0.500  0.000  0.500
Ga  0.125  0.875  0.250
Ga  0.875  0.125  0.750


Values of E_tot, in order: -4.0001; -7.7244; -3.6527; -3.6813; -6.9386; -6.4549; -6.5429; -10.9256; -7.7596; -8.3576; -3.6253; -2.8799, all in eV/atom.